A plane-wave DFT calculation with GGA-PBE was carried out for an optimized crystal structure of Mn2AsW.

Structure (extended XYZ):
```
4
Lattice="8.078 0.002 0.001 7.562 2.839 0.001 7.562 1.374 2.485" Properties=species:S:1:pos:R:3 pbc="T T T"
Mn 11.542 2.097 1.237
Mn 0.059 0.011 0.006
As 17.402 3.161 1.865
W 5.801 1.054 0.622
```

calculated formation energy	0.273	eV/atom
symmetry	No. 166



A plane-wave DFT calculation with GGA-PBE was carried out for an optimized crystal structure of Sr2LaCu.

Structure (extended XYZ):
```
4
Lattice="6.798 0.019 0.000 3.246 5.972 0.000 -5.022 -2.995 3.466" Properties=species:S:1:pos:R:3 pbc="T T T"
Sr 0.000 0.000 0.000
Sr 5.022 2.995 0.000
La 3.399 0.009 1.733
Cu 1.623 2.986 1.733
```

polymorph energy (0 for the lowest one)	0.329	eV per atom
calculated formation energy	0.343	eV/atom
symmetry	No. 139



A plane-wave DFT calculation with GGA-PBE was carried out for an optimized crystal structure of Rb2PaSe6.

Structure (extended XYZ):
```
9
Lattice="-4.905 0.357 -0.385 -0.898 -4.807 6.991 0.467 8.681 0.823" Properties=species:S:1:pos:R:3 pbc="T T T"
Rb -3.673 -0.010 4.727
Rb -1.663 4.241 2.702
Se -3.857 6.317 0.803
Se -4.382 3.505 4.893
Se -2.634 -0.796 1.224
Se -0.954 0.726 2.537
Se -1.480 -2.086 6.627
Se -3.169 -3.655 5.382
Pa 0.000 0.000 0.000
```

formation energy without anion corrections	-0.93	eV per atom
symmetry	No. 12